Record 1
DFT (PBE-GGA) results for crystalline KRbSnBi at its relaxed geometry.

Computed properties:
D(E_F) ... 0.275 states/eV/atom
Density ... 5.0 g cm⁻³
ΔH_f (0 K) ... -136 meV per atom
SG ... F-43m

The structure in POSCAR format:
```
KRbSnBi
1.0
-2.482 -4.991 2.143
2.963 -5.177 -0.303
2.150 -2.506 4.976
Bi K Rb Sn
1 1 1 1
Direct
0.000 0.000 0.000
0.250 0.250 0.250
0.500 0.500 0.500
0.750 0.750 0.750
```



Record 2
DFT (PBE-GGA) results for crystalline K2RbSrBi at its relaxed geometry.

Computed properties:
D(E_F) ... 0.493 states/eV/atom
Density ... 2.4 g cm⁻³
ΔH_f (0 K) ... -237 meV per atom
SG ... P4/mmm

The structure in POSCAR format:
```
K2RbSrBi
1.0
7.028 0.000 0.000
0.000 7.028 0.000
0.000 0.000 6.555
Sr Bi K Rb
1 1 2 1
Direct
0.000 0.000 0.500
0.000 0.000 0.000
0.500 0.000 0.000
0.000 0.500 0.000
0.500 0.500 0.500
```